This record from the Alexandria database describes crystalline HfMoPbO6 at its relaxed geometry. The functional is GGA+U.

The total energy comes out at -7.61 eV/atom. Its space-group type is Imma. The total magnetization comes out at 0.00 μB/f.u.

a = 7.4179 Å, b = 7.4285 Å, c = 7.5314 Å
α = 119.55°, β = 119.50°, γ = 90.00°
Element x y z (fractional)
Pb (0.0339, 0.2839, 0.0678)
Pb (0.9661, 0.7161, 0.9322)
Mo (0.5000, 0.0000, 0.0000)
Mo (0.5000, 0.5000, 0.0000)
O (0.5712, 0.9409, 0.7657)
O (0.8055, 0.0591, 0.2343)
O (0.4460, 0.6960, 0.8919)
O (0.1945, 0.3248, 0.7657)
O (0.8326, 0.0826, 0.6651)
O (0.5712, 0.3248, 0.7657)
O (0.1945, 0.9409, 0.7657)
O (0.4288, 0.0591, 0.2343)
O (0.4288, 0.6752, 0.2343)
O (0.8055, 0.6752, 0.2343)
O (0.5540, 0.3040, 0.1081)
O (0.1674, 0.9174, 0.3349)
Hf (0.0000, 0.0000, 0.5000)
Hf (0.5000, 0.0000, 0.5000)